4
Lattice="-0.969 -0.785 3.131 1.408 -3.044 -0.328 5.351 2.236 2.218" Properties=species:S:1:pos:R:3 comment="U2CoOs (GGA-PBE, relaxed)" vol_a3_per_atom=17.6 mass_density_g_cm3=17.08 magmom_total_mub_per_fu=0.0 formation_energy_ev_per_atom=0.046 e_tot_ev_per_fu=-40.73 sg="P4/mmm, No. 123" pbc="T T T"
Os 2.894 -0.797 2.510
Co 0.219 -1.915 1.401
U 4.195 1.753 1.739
U 1.155 0.483 0.479